Entry a
PBE-GGA Li2TeS3, optimized geometry; crystal system = orthorhombic
1.0
3.7959 0.0000 0.0000
0.0000 11.4926 0.0000
0.0000 0.0000 5.3400
Li Te S
4 2 6
direct
0.2500 0.0935 0.2426
0.2500 0.4065 0.2426
0.7500 0.5935 0.7574
0.7500 0.9065 0.7574
0.2500 0.7500 0.2387
0.7500 0.2500 0.7613
0.2500 0.0872 0.7433
0.2500 0.4128 0.7433
0.2500 0.7500 0.7803
0.7500 0.2500 0.2197
0.7500 0.5872 0.2567
0.7500 0.9128 0.2567

---

Entry b
PBE-GGA Li2TeS3, optimized geometry; crystal system = monoclinic; density of states at the Fermi level = 0.000 states/eV per cell
1.0
5.3848 0.0000 0.0000
0.0000 11.6120 0.0000
-0.2345 0.0000 7.9059
Li Te S
8 4 12
direct
0.2387 0.0880 0.3710
0.2387 0.4120 0.8710
0.2590 0.7266 0.3529
0.2590 0.7734 0.8529
0.7410 0.2266 0.1471
0.7410 0.2734 0.6471
0.7613 0.5880 0.1290
0.7613 0.9120 0.6290
0.2795 0.0870 0.8198
0.2795 0.4130 0.3198
0.7205 0.5870 0.6802
0.7205 0.9130 0.1802
0.2326 0.2454 0.6240
0.2326 0.2546 0.1240
0.2552 0.5716 0.1294
0.2552 0.9284 0.6294
0.2755 0.5973 0.6311
0.2755 0.9027 0.1311
0.7245 0.0973 0.8689
0.7245 0.4027 0.3689
0.7448 0.0716 0.3706
0.7448 0.4284 0.8706
0.7674 0.7454 0.8760
0.7674 0.7546 0.3760

---

The most stable arrangement is entry b, and the next structure is 0.024 eV/atom less stable.

---

Entry a
PBE-GGA LiTi2S4, optimized geometry; crystal system = monoclinic; density of states at the Fermi level = 2.829 states/eV per cell
1.0
6.9068 -1.7095 0.0000
6.9068 1.7095 0.0000
-2.4739 0.0000 5.3734
Li Ti S
1 2 4
direct
0.0000 0.0000 0.0000
0.2529 0.2529 0.2594
0.7471 0.7471 0.7406
0.1331 0.1331 0.4678
0.3643 0.3643 0.0270
0.6357 0.6357 0.9730
0.8669 0.8669 0.5322

---

Entry b
PBE-GGA LiTi2S4, optimized geometry; crystal system = orthorhombic; density of states at the Fermi level = 5.707 states/eV per cell
1.0
1.7292 -5.7406 0.0000
1.7292 5.7406 0.0000
0.0000 0.0000 12.2247
Li Ti S
2 4 8
direct
0.1096 0.8904 0.7500
0.8904 0.1096 0.2500
0.3675 0.6325 0.5688
0.3675 0.6325 0.9312
0.6325 0.3675 0.0688
0.6325 0.3675 0.4312
0.0000 0.0000 0.0000
0.0000 0.0000 0.5000
0.2745 0.7255 0.1160
0.2745 0.7255 0.3840
0.4442 0.5558 0.7500
0.5558 0.4442 0.2500
0.7255 0.2745 0.6160
0.7255 0.2745 0.8840

---

The most stable arrangement is entry a, and the next structure is 0.105 eV/atom less stable.

---

Entry a
PBE-GGA LiTi4S8, optimized geometry; crystal system = cubic; density of states at the Fermi level = 4.837 states/eV per cell
1.0
0.0000 5.0168 5.0168
5.0168 0.0000 5.0168
5.0168 5.0168 0.0000
Li Ti S
1 4 8
direct
0.0000 0.0000 0.0000
0.3785 0.3785 0.3785
0.3785 0.3785 0.8646
0.3785 0.8646 0.3785
0.8646 0.3785 0.3785
0.1332 0.1332 0.1332
0.1332 0.1332 0.6005
0.1332 0.6005 0.1332
0.1387 0.6204 0.6204
0.6005 0.1332 0.1332
0.6204 0.1387 0.6204
0.6204 0.6204 0.1387
0.6204 0.6204 0.6204

---

Entry b
PBE-GGA LiTi4S8, optimized geometry; crystal system = monoclinic; density of states at the Fermi level = 3.816 states/eV per cell
1.0
5.9028 -3.4104 0.0000
5.9028 3.4104 0.0000
-5.8548 0.0000 6.3285
Li Ti S
1 4 8
direct
0.0000 0.0000 0.0000
0.2537 0.7463 0.5000
0.2549 0.2549 0.5072
0.7451 0.7451 0.4928
0.7463 0.2537 0.5000
0.0272 0.0272 0.7236
0.0287 0.5316 0.7287
0.4684 0.9713 0.2713
0.4693 0.4693 0.2713
0.5307 0.5307 0.7287
0.5316 0.0287 0.7287
0.9713 0.4684 0.2713
0.9728 0.9728 0.2764

---

The most stable arrangement is entry b, and the next structure is 0.035 eV/atom less stable.